# CsAcBr (PBE, optimized geometry)
# Total DFT energy (no corrections): -2.814 eV per atom
# Symmetry: Pnma (62)
data_CsAcBr
_chemical_formula_sum 'Cs4 Ac4 Br4'
_cell_length_a 9.543
_cell_length_b 7.185
_cell_length_c 9.685
_cell_angle_alpha 90.00
_cell_angle_beta 90.00
_cell_angle_gamma 90.00
_space_group_name_H-M_alt 'P 1'
_space_group_IT_number 1
loop_
_space_group_symop_operation_xyz
'x,y,z'
loop_
_atom_site_label
_atom_site_fract_x
_atom_site_fract_y
_atom_site_fract_z
Cs1 0.156 0.250 0.153
Cs2 0.344 0.750 0.653
Cs3 0.656 0.250 0.347
Cs4 0.844 0.750 0.847
Ac1 0.049 0.250 0.609
Ac2 0.451 0.750 0.109
Ac3 0.549 0.250 0.891
Ac4 0.951 0.750 0.391
Br1 0.120 0.750 0.109
Br2 0.380 0.250 0.609
Br3 0.620 0.750 0.391
Br4 0.880 0.250 0.891

# Cs3AcBr7 (PBE, optimized geometry)
# Total DFT energy (no corrections): -3.363 eV per atom
# Symmetry: Cm (8)
data_Cs3AcBr7
_chemical_formula_sum 'Cs3 Ac1 Br7'
_cell_length_a 8.843
_cell_length_b 8.843
_cell_length_c 9.250
_cell_angle_alpha 120.62
_cell_angle_beta 120.62
_cell_angle_gamma 84.77
_space_group_name_H-M_alt 'P 1'
_space_group_IT_number 1
loop_
_space_group_symop_operation_xyz
'x,y,z'
loop_
_atom_site_label
_atom_site_fract_x
_atom_site_fract_y
_atom_site_fract_z
Cs1 0.000 0.000 0.000
Cs2 0.283 0.736 0.559
Cs3 0.736 0.283 0.559
Ac1 0.564 0.564 0.119
Br1 0.181 0.565 0.801
Br2 0.368 0.368 0.193
Br3 0.379 0.873 0.291
Br4 0.565 0.181 0.801
Br5 0.689 0.689 0.936
Br6 0.873 0.379 0.291
Br7 0.875 0.875 0.513

Computed formation energy from raw total energies (eV/atom) in order:
-0.602; -1.692